Density functional theory data (PBE-GGA) for crystalline TlReAsO at its relaxed geometry.

a = 3.893 Å, b = 3.893 Å, c = 9.849 Å
α = 90.00°, β = 90.00°, γ = 90.00°
Each line ends with the local moment (μB).
Fractional positions:
Re 0.000 0.000 0.500  0.12
Re 0.500 0.500 0.500  0.12
Tl 0.500 0.000 0.118  0.01
Tl 0.000 0.500 0.882  0.01
O 0.000 0.000 0.000  0.01
O 0.500 0.500 0.000  0.01
As 0.500 0.000 0.673  -0.01
As 0.000 0.500 0.327  -0.01

Output
Energy above the lowest structure with this stoichiometry: 0.1961 eV per atom
Space-group type: P4/nmm
Electronic total energy: -6.0433 eV/atom
Total magnetic moment: 0.19 μB per formula unit